No. 1
Density functional theory data (PBE) for crystalline HfScTa at its relaxed geometry.

Properties
excess energy over the best structure of this formula in the dataset	0.000	eV per atom

Cell: 4.6632 4.6632 4.6632 Å, 60.00 60.00 60.00°
Positions (direct):
Hf 0.2500 0.2500 0.2500
Sc 0.7500 0.7500 0.7500
Ta 0.0000 0.0000 0.0000

=====

No. 2
Density functional theory data (PBE) for crystalline HfSc2Ta at its relaxed geometry.

Cell: 4.9093 4.9093 4.9093 Å, 60.00 60.00 60.00°
Positions (direct):
Hf 0.5000 0.5000 0.5000
Sc 0.0000 0.0000 0.0000
Sc 0.2500 0.2500 0.2500
Ta 0.7500 0.7500 0.7500

=====

No. 3
Density functional theory data (PBE) for crystalline Hf2ScTa at its relaxed geometry.

Cell: 4.9122 4.9122 4.9122 Å, 60.00 60.00 60.00°
Positions (direct):
Hf 0.0000 0.0000 0.0000
Hf 0.7500 0.7500 0.7500
Sc 0.2500 0.2500 0.2500
Ta 0.5000 0.5000 0.5000

=====

No. 4
Density functional theory data (PBE) for crystalline HfScTa2 at its relaxed geometry.

Cell: 4.8209 4.8209 4.8209 Å, 60.00 60.00 60.00°
Positions (direct):
Hf 0.2500 0.2500 0.2500
Sc 0.5000 0.5000 0.5000
Ta 0.0000 0.0000 0.0000
Ta 0.7500 0.7500 0.7500

=====

No. 5
Density functional theory data (PBE) for crystalline TbHfSc at its relaxed geometry.

Properties
excess energy over the best structure of this formula in the dataset	0.000	eV per atom

Cell: 5.0229 5.0229 5.0229 Å, 60.00 60.00 60.00°
Positions (direct):
Hf 0.0000 0.0000 0.0000
Sc 0.2500 0.2500 0.2500
Tb 0.7500 0.7500 0.7500

=====

No. 6
Density functional theory data (PBE) for crystalline Hf2ScTc at its relaxed geometry.

Cell: 4.7791 4.7791 4.7791 Å, 60.00 60.00 60.00°
Positions (direct):
Hf 0.2500 0.2500 0.2500
Hf 0.5000 0.5000 0.5000
Sc 0.7500 0.7500 0.7500
Tc 0.0000 0.0000 0.0000

=====

Here are the calculated DFT total energy numbers, same order: -8.493 -8.400 -9.276 -9.813 -6.074 -9.096 (eV per atom).
Here are the calculated total magnetization numbers, same order: 0.00 0.06 0.09 0.01 0.62 0.84 (μB per formula unit).
Here are the calculated formation energy numbers, same order: 0.886 0.216 0.247 0.184 0.897 0.054 (eV per atom).